[1]
TaZn6Pd12 | Alexandria via LeMat-Bulk | PBE-GGA | optimized geometry; magnetization = 0.0 μB/f.u.; E_tot = -4.6262 eV/atom; space-group type = No. 148
1.0
7.1995 -0.8543 -1.0234
-1.9359 6.9867 -1.0234
-1.9359 -2.2554 6.6914
Zn Pd Ta
6 12 1
direct
0.4796 0.3141 0.1950
0.1950 0.4796 0.3141
0.3141 0.1950 0.4796
0.5204 0.6859 0.8050
0.8050 0.5204 0.6859
0.6859 0.8050 0.5204
0.5831 0.0785 0.3786
0.3786 0.5831 0.0785
0.6214 0.4169 0.9215
0.7400 0.1533 0.0984
0.2600 0.8467 0.9016
0.4169 0.9215 0.6214
0.9016 0.2600 0.8467
0.0785 0.3786 0.5831
0.0984 0.7400 0.1533
0.9215 0.6214 0.4169
0.8467 0.9016 0.2600
0.1533 0.0984 0.7400
0.0000 0.0000 0.0000



[2]
BeCd2W | Alexandria via LeMat-Bulk | PBE-GGA | optimized geometry; magnetization = 0.0 μB/f.u.; E_tot = -3.9677 eV/atom; space-group type = No. 10
1.0
4.4824 0.0000 0.0000
0.0000 2.8524 0.0042
0.0000 1.3840 5.1754
Cd W Be
2 1 1
direct
0.0000 0.6152 0.5111
0.0000 0.8848 0.9889
0.5000 0.2500 0.2500
0.5000 0.7500 0.7500



[3]
Tm7ZnSe5 | Alexandria via LeMat-Bulk | PBE-GGA | optimized geometry; magnetization = 0.0 μB/f.u.; E_tot = -5.1837 eV/atom; space-group type = No. 36
1.0
3.9639 0.0000 0.0000
-1.9819 6.5707 0.0081
0.0000 -0.0288 23.9342
Tm Se Zn
14 10 2
direct
0.3607 0.7214 0.9632
0.0935 0.1870 0.8813
0.1911 0.3823 0.1802
0.8094 0.6188 0.6802
0.6399 0.2798 0.4632
0.5305 0.0609 0.7502
0.9071 0.8142 0.3813
0.6384 0.2769 0.0369
0.3621 0.7243 0.5368
0.4701 0.9402 0.2502
0.9056 0.8111 0.1188
0.1927 0.3854 0.3198
0.8079 0.6158 0.8198
0.0950 0.1900 0.6188
0.2782 0.5564 0.4284
0.7224 0.4447 0.9284
0.0010 0.0021 0.5000
0.9995 0.9991 0.0000
0.4487 0.8975 0.6419
0.4472 0.8945 0.8581
0.5533 0.1067 0.3581
0.2768 0.5536 0.0717
0.7238 0.4476 0.5717
0.5518 0.1036 0.1419
0.1945 0.3890 0.7496
0.8061 0.6121 0.2496



[4]
Be2CuOs2 | Alexandria via LeMat-Bulk | PBE-GGA | optimized geometry; magnetization = 0.0 μB/f.u.; ΔE to the lowest computed polymorph = 1.63 eV/f.u.; space-group type = No. 127
1.0
-3.3521 4.8683 -2.8347
-0.4469 -3.5179 -5.5133
-2.4282 -1.1355 0.9213
Be Os Cu
4 4 2
direct
0.8368 0.3368 0.5000
0.1632 0.6632 0.5000
0.6632 0.8368 0.5000
0.3368 0.1632 0.5000
0.1332 0.3668 0.0000
0.3668 0.8668 0.0000
0.6332 0.1332 0.0000
0.8668 0.6332 0.0000
0.5000 0.5000 0.0000
0.0000 0.0000 0.0000



[5]
Sm2TaTiN5 | Alexandria via LeMat-Bulk | PBE-GGA | optimized geometry; magnetization = 0.0 μB/f.u.; E_tot = -9.2518 eV/atom; space-group type = No. 36
1.0
3.3114 0.0000 0.0000
-1.6557 6.7074 0.0000
0.0000 0.0000 10.4694
N Sm Ta Ti
10 4 2 2
direct
0.4964 0.9929 0.7854
0.6894 0.3789 0.8885
0.3692 0.7385 0.9994
0.9435 0.8871 0.5481
0.2796 0.5591 0.6489
0.3106 0.6211 0.3885
0.0565 0.1129 0.0481
0.5036 0.0071 0.2854
0.6308 0.2615 0.4994
0.7204 0.4409 0.1489
0.8938 0.7875 0.1912
0.1062 0.2125 0.6912
0.8608 0.7217 0.7905
0.1392 0.2783 0.2905
0.2182 0.4364 0.0086
0.7818 0.5636 0.5086
0.5227 0.0454 0.9634
0.4773 0.9546 0.4634



[6]
Y4Cd5In | Alexandria via LeMat-Bulk | PBE-GGA | optimized geometry; magnetization = 0.0 μB/f.u.; E_tot = -3.6731 eV/atom; space-group type = No. 12
1.0
4.8960 0.0000 -1.6785
-0.5533 6.2570 -1.6140
0.0961 0.0548 8.2599
In Y Cd
1 4 5
direct
0.5000 0.0000 0.0000
0.0969 0.8742 0.1937
0.9031 0.1258 0.8063
0.3078 0.6846 0.6156
0.6922 0.3154 0.3844
0.9008 0.6024 0.8016
0.7071 0.8200 0.4142
0.5000 0.5000 0.0000
0.2929 0.1800 0.5858
0.0992 0.3976 0.1984



[7]
Fe2PC | Alexandria via LeMat-Bulk | PBE-GGA | optimized geometry; magnetization = 0.0 μB/f.u.; E_tot = -7.6688 eV/atom; space-group type = No. 122
1.0
-3.8528 -0.2667 -2.6645
2.1233 -3.1492 -2.7548
-2.3945 -4.9590 -0.1723
C Fe P
2 4 2
direct
0.2500 0.7500 0.5000
0.5000 0.5000 0.0000
0.8750 0.8148 0.7500
0.3750 0.4352 0.7500
0.5648 0.1250 0.2500
0.1852 0.6250 0.2500
0.0000 0.0000 0.0000
0.7500 0.2500 0.5000



[8]
CrNiPt | Alexandria via LeMat-Bulk | PBE-GGA | optimized geometry; magnetization = 0.2 μB/f.u.; ΔE to the lowest computed polymorph = 0.22 eV/f.u.; space-group type = No. 190
1.0
-1.6764 2.5779 -6.4781
1.0727 -7.0338 0.8922
-5.1434 -0.6483 1.0730
Pt Cr Ni
6 6 6
direct
0.0000 0.3060 0.5000
0.3060 0.0000 0.0000
0.6940 0.6940 0.5000
0.0000 0.3060 0.0000
0.3060 0.0000 0.5000
0.6940 0.6940 0.0000
0.3333 0.6667 0.9411
0.6667 0.3333 0.0589
0.6667 0.3333 0.4411
0.0000 0.0000 0.2500
0.0000 0.0000 0.7500
0.3333 0.6667 0.5589
0.0176 0.6512 0.2500
0.3488 0.3664 0.2500
0.9824 0.6336 0.7500
0.6512 0.0176 0.7500
0.3664 0.3488 0.7500
0.6336 0.9824 0.2500



[9]
HgSICl2 | Alexandria via LeMat-Bulk | PBE-GGA | optimized geometry; magnetization = 0.0 μB/f.u.; ΔE to the lowest computed polymorph = 0.00 eV/f.u.; space-group type = No. 123
1.0
-1.1588 3.0054 4.4378
-0.8754 -4.5855 2.8768
4.9662 -0.0944 1.3607
Cl I Hg S
2 1 1 1
direct
0.0000 0.5000 0.0000
0.5000 0.0000 0.0000
0.0000 0.0000 0.0000
0.5000 0.5000 0.5000
0.0000 0.0000 0.5000



[10]
KBaUCl6 | Alexandria via LeMat-Bulk | PBE-GGA | optimized geometry; magnetization = 3.0 μB/f.u.; E_tot = -4.8385 eV/atom; space-group type = No. 163
1.0
7.7600 0.0000 0.0000
-3.8800 6.7204 0.0000
0.0000 0.0000 12.9524
K Cl Ba U
2 12 2 2
direct
0.0000 0.0000 0.5000
0.0000 0.0000 0.0000
0.0322 0.3730 0.6320
0.6270 0.6592 0.6320
0.0322 0.6592 0.8680
0.6270 0.9678 0.8680
0.6592 0.6270 0.1320
0.9678 0.3408 0.1320
0.3408 0.9678 0.6320
0.9678 0.6270 0.3680
0.6592 0.0322 0.3680
0.3408 0.3730 0.8680
0.3730 0.0322 0.1320
0.3730 0.3408 0.3680
0.6667 0.3333 0.7500
0.3333 0.6667 0.2500
0.6667 0.3333 0.2500
0.3333 0.6667 0.7500



[11]
NaFeIr | Alexandria via LeMat-Bulk | PBE-GGA | optimized geometry; magnetization = 0.0 μB/f.u.; ΔE to the lowest computed polymorph = 0.55 eV/f.u.; space-group type = No. 1
1.0
2.6641 0.0248 0.0103
-1.3359 10.6241 -0.0507
-0.0004 -1.6708 3.8383
Na Ir Fe
2 2 2
direct
0.8762 0.6087 0.7528
0.2513 0.3326 0.9681
0.4763 0.8194 0.4690
0.0177 0.9071 0.0609
0.6164 0.1177 0.2560
0.0823 0.0505 0.7102



[12]
Tl6S | Alexandria via LeMat-Bulk | PBE-GGA | optimized geometry; magnetization = 1.6 μB/f.u.; ΔE to the lowest computed polymorph = 4.62 eV/f.u.; space-group type = No. 229
1.0
-2.3887 -3.1237 6.2976
5.2814 -4.2528 -3.0239
2.7795 6.7253 1.4724
Tl S
6 1
direct
0.2500 0.7500 0.5000
0.5000 0.7500 0.2500
0.5000 0.2500 0.7500
0.2500 0.5000 0.7500
0.7500 0.5000 0.2500
0.7500 0.2500 0.5000
0.0000 0.0000 0.0000